First-principles (PBE) data for an optimized crystal structure of Al2Ni2Ir, as listed in Alexandria via LeMat-Bulk.

## Properties
Crystal system: tetragonal
Mass density in Mg/m³: 9.45
Space group: P4/mbm
Formation energy from the elements in eV/atom: -0.429

Structure (CIF):
```
data_Al2Ni2Ir
_chemical_formula_sum 'Al4 Ni4 Ir2'
_cell_length_a 6.7337
_cell_length_b 6.7337
_cell_length_c 2.8185
_cell_angle_alpha 90.00
_cell_angle_beta 90.00
_cell_angle_gamma 90.00
_space_group_name_H-M_alt 'P 1'
_space_group_IT_number 1
loop_
_space_group_symop_operation_xyz
'x,y,z'
loop_
_atom_site_label
_atom_site_type_symbol
_atom_site_fract_x
_atom_site_fract_y
_atom_site_fract_z
Ir1 Ir 0.5000 0.5000 0.0000
Al1 Al 0.3537 0.8537 0.0000
Ni1 Ni 0.6501 0.8499 0.5000
Ni2 Ni 0.3499 0.1501 0.5000
Al2 Al 0.6463 0.1463 0.0000
Ni3 Ni 0.1501 0.6501 0.5000
Al3 Al 0.1463 0.3537 0.0000
Ni4 Ni 0.8499 0.3499 0.5000
Al4 Al 0.8537 0.6463 0.0000
Ir2 Ir 0.0000 0.0000 0.0000
```